Entry 1:
{"formula": "Mn2VRe", "functional": "PBE", "state": "relaxed", "polymorph_energy_ev_per_fu": 2.59, "e_form_kcal_per_mol_atoms": 12.94, "volume_a3_per_cell": 111, "rho_g_cm3": 10.4, "cell": [[6.590, 0.000, 0.000], [0.000, 6.590, 0.000], [3.295, 3.295, 2.563]], "species": ["Re", "Re", "Mn", "Mn", "Mn", "Mn", "V", "V"], "frac_coords": [[0.000, 0.000, 0.000], [0.750, 0.250, 0.500], [0.620, 0.125, 0.250], [0.130, 0.625, 0.250], [0.375, 0.380, 0.750], [0.875, 0.870, 0.750], [0.500, 0.500, 0.000], [0.250, 0.750, 0.500]]}


Entry 2:
{"formula": "CsRuS2", "functional": "PBE", "state": "relaxed", "polymorph_energy_ev_per_fu": 1.83, "volume_a3_per_cell": 105, "rho_g_cm3": 4.7, "raw_formation_energy_ev_per_atom": -0.2374, "cell": [[-8.074, 3.067, 1.124], [-6.532, 3.532, 4.552], [-5.932, 6.107, 1.841]], "species": ["Cs", "Ru", "S", "S"], "frac_coords": [[0.000, 0.000, 0.000], [0.500, 0.500, 0.500], [0.875, 0.875, 0.875], [0.125, 0.125, 0.125]]}


Entry 3:
{"formula": "FeTePb2", "functional": "PBE", "state": "relaxed", "volume_a3_per_cell": 113, "rho_g_cm3": 8.8, "raw_formation_energy_ev_per_atom": 0.2411, "cell": [[3.877, 0.000, 0.000], [0.000, 6.480, -0.002], [0.000, 4.673, 4.514]], "species": ["Fe", "Pb", "Pb", "Te"], "frac_coords": [[0.500, 0.750, 0.750], [0.000, 0.909, 0.911], [0.000, 0.591, 0.589], [0.500, 0.250, 0.250]]}